Below is a relaxed structure of Rb3HoU3Te8, with properties calculated at the GGA-PBE level.

```
Rb3HoU3Te8
1.0
8.9767 0.0000 0.0000
4.4792 7.8176 0.0000
4.4760 2.6010 8.7357
Rb Ho U Te
3 1 3 8
direct
0.0000 0.0000 0.0000 Rb
0.0000 0.5000 0.0000 Rb
0.5000 0.0000 0.0000 Rb
0.0000 0.0000 0.5000 Ho
0.0000 0.5000 0.5000 U
0.5000 0.0000 0.5000 U
0.5000 0.5000 0.5000 U
0.2317 0.2322 0.3017 Te
0.2317 0.7339 0.3023 Te
0.2655 0.7678 0.6988 Te
0.2655 0.2662 0.7025 Te
0.7345 0.7338 0.2975 Te
0.7345 0.2322 0.3012 Te
0.7683 0.2661 0.6977 Te
0.7683 0.7678 0.6983 Te
```

Results
D(E_F) (states/eV/atom): 1.2531
Energy relative to the elements, uncorrected (eV per atom): -0.94
Raw total energy (eV/atom): -5.3690
SG: No. 2

=====

Below is a relaxed structure of Rb4Ho3UTe8, with properties calculated at the GGA-PBE level.

```
Rb4Ho3UTe8
1.0
4.5341 2.6178 8.5631
-4.5341 2.6178 8.5631
0.0000 -5.2355 8.5631
Rb Ho U Te
4 3 1 8
direct
0.0000 0.0000 0.0000 Rb
0.0000 0.5000 0.5000 Rb
0.5000 0.0000 0.5000 Rb
0.5000 0.5000 0.0000 Rb
0.0000 0.0000 0.5000 Ho
0.0000 0.5000 0.0000 Ho
0.5000 0.0000 0.0000 Ho
0.5000 0.5000 0.5000 U
0.2281 0.7360 0.7361 Te
0.2327 0.2327 0.2327 Te
0.2639 0.2640 0.7719 Te
0.2639 0.7719 0.2639 Te
0.7361 0.2281 0.7361 Te
0.7361 0.7361 0.2281 Te
0.7673 0.7673 0.7673 Te
0.7719 0.2639 0.2639 Te
```

Results
D(E_F) (states/eV/atom): 0.6506
Energy relative to the elements, uncorrected (eV per atom): -1.23
Raw total energy (eV/atom): -4.6087
SG: No. 166

=====

Below is a relaxed structure of Rb2HoU2Te6, with properties calculated at the GGA-PBE level.

```
Rb2HoU2Te6
1.0
3.8475 -6.6662 0.0000
3.8475 6.6662 0.0000
-2.5677 0.0000 8.8031
Rb Ho U Te
2 1 2 6
direct
0.1664 0.8336 0.0000 Rb
0.8336 0.1664 0.0000 Rb
0.0000 0.0000 0.5000 Ho
0.3329 0.6671 0.5000 U
0.6671 0.3329 0.5000 U
0.0676 0.3984 0.6981 Te
0.2679 0.2679 0.3026 Te
0.3984 0.0676 0.6981 Te
0.6016 0.9324 0.3019 Te
0.7321 0.7321 0.6974 Te
0.9324 0.6016 0.3019 Te
```

Results
D(E_F) (states/eV/atom): 1.4307
Energy relative to the elements, uncorrected (eV per atom): -0.99
Raw total energy (eV/atom): -5.3516
SG: No. 12

=====

Below is a relaxed structure of Rb2YHoTe4, with properties calculated at the GGA-PBE level.

```
Rb2YHoTe4
1.0
7.8275 0.0000 0.0000
0.0000 4.5207 0.0000
-2.6093 0.0000 8.5487
Rb Y Ho Te
2 1 1 4
direct
0.0000 0.0000 0.0000 Rb
0.5000 0.5000 0.0000 Rb
0.0000 0.5000 0.5000 Y
0.5000 0.0000 0.5000 Ho
0.2342 0.0000 0.6993 Te
0.2683 0.5000 0.3012 Te
0.7317 0.5000 0.6988 Te
0.7658 0.0000 0.3007 Te
```

Results
Energy relative to the elements, uncorrected (eV per atom): -1.39
Raw total energy (eV/atom): -4.5814
SG: No. 10

=====

Below is a relaxed structure of Rb3YHo2Te6, with properties calculated at the GGA-PBE level.

```
Rb3YHo2Te6
1.0
3.9114 -6.7755 0.0000
3.9114 6.7755 0.0000
-2.6066 0.0000 8.5487
Rb Y Ho Te
3 1 2 6
direct
0.0000 0.0000 0.0000 Rb
0.3336 0.6664 0.0000 Rb
0.6664 0.3336 0.0000 Rb
0.5000 0.5000 0.5000 Y
0.1667 0.8333 0.5000 Ho
0.8333 0.1667 0.5000 Ho
0.0991 0.4337 0.3012 Te
0.2316 0.2316 0.6988 Te
0.4337 0.0991 0.3012 Te
0.5663 0.9009 0.6988 Te
0.7684 0.7684 0.3012 Te
0.9009 0.5663 0.6988 Te
```

Results
Energy relative to the elements, uncorrected (eV per atom): -1.38
Raw total energy (eV/atom): -4.4990
SG: No. 12

=====

Below is a relaxed structure of Rb4YHo3Te8, with properties calculated at the GGA-PBE level.

```
Rb4YHo3Te8
1.0
4.5156 2.6071 8.5484
-4.5156 2.6071 8.5484
0.0000 -5.2142 8.5484
Rb Y Ho Te
4 1 3 8
direct
0.0000 0.0000 0.0000 Rb
0.0000 0.5000 0.5000 Rb
0.5000 0.0000 0.5000 Rb
0.5000 0.5000 0.0000 Rb
0.5000 0.5000 0.5000 Y
0.0000 0.0000 0.5000 Ho
0.0000 0.5000 0.0000 Ho
0.5000 0.0000 0.0000 Ho
0.2318 0.7335 0.7335 Te
0.2328 0.2328 0.2328 Te
0.2665 0.2665 0.7682 Te
0.2665 0.7682 0.2665 Te
0.7335 0.2318 0.7335 Te
0.7335 0.7335 0.2318 Te
0.7672 0.7672 0.7672 Te
0.7682 0.2665 0.2665 Te
```

Results
Energy relative to the elements, uncorrected (eV per atom): -1.38
Raw total energy (eV/atom): -4.4576
SG: No. 166

=====

Below is a relaxed structure of Rb3Y2HoTe6, with properties calculated at the GGA-PBE level.

```
Rb3Y2HoTe6
1.0
3.9167 -6.7841 0.0000
3.9167 6.7841 0.0000
-2.6111 0.0000 8.5483
Rb Y Ho Te
3 2 1 6
direct
0.0000 0.0000 0.0000 Rb
0.3328 0.6672 0.0000 Rb
0.6672 0.3328 0.0000 Rb
0.1666 0.8334 0.5000 Y
0.8334 0.1666 0.5000 Y
0.5000 0.5000 0.5000 Ho
0.1016 0.4336 0.3009 Te
0.2345 0.2345 0.6994 Te
0.4336 0.1016 0.3009 Te
0.5664 0.8984 0.6991 Te
0.7655 0.7655 0.3006 Te
0.8984 0.5664 0.6991 Te
```

Results
Energy relative to the elements, uncorrected (eV per atom): -1.39
Raw total energy (eV/atom): -4.6641
SG: No. 12

=====

Below is a relaxed structure of Rb3Ho2ZrTe6, with properties calculated at the GGA-PBE level.

```
Rb3Ho2ZrTe6
1.0
3.8297 -6.6341 0.0000
3.8297 6.6341 0.0000
-2.5566 0.0000 8.5800
Rb Ho Zr Te
3 2 1 6
direct
0.0000 0.0000 0.0000 Rb
0.3302 0.6698 0.0000 Rb
0.6698 0.3302 0.0000 Rb
0.1662 0.8338 0.5000 Ho
0.8338 0.1662 0.5000 Ho
0.5000 0.5000 0.5000 Zr
0.1110 0.4345 0.3031 Te
0.2429 0.2429 0.6981 Te
0.4345 0.1110 0.3031 Te
0.5655 0.8890 0.6969 Te
0.7571 0.7571 0.3019 Te
0.8890 0.5655 0.6969 Te
```

Results
D(E_F) (states/eV/atom): 0.4488
Energy relative to the elements, uncorrected (eV per atom): -1.21
Raw total energy (eV/atom): -4.4977
SG: No. 12